Material: NdYPa
Method: DFT, PBE
State: relaxed

It has space group P3m1 (No. 156), with a = 3.4625 Å, b = 3.4625 Å, c = 8.7017 Å, α = 90.00°, β = 90.00° and γ = 120.00°. The distinct sites, in fractional coordinates, are Nd at (0.0000, 0.0000, 0.0000), Y at (0.3333, 0.6667, 0.6353) and Pa at (0.6667, 0.3333, 0.3209).

As for the calculated formation energy: 0.49 eV/f.u. Its energy above the most stable polymorph in this dataset is 0 meV per atom. For the mass density, the calculation gives 8.53 g/cm3. The value obtained for the total energy is -6.747 eV/atom. The crystal system is trigonal. As for the density of states at the Fermi level: 4.642 states/eV per cell.